Entry from Alexandria via LeMat-Bulk: crystalline Li2LaFe at its relaxed geometry (PBE).

Values from the calculation:
Energy of formation from the pure elements in meV/atom: 401.6
Symmetry: No. 160
DFT total energy in eV for the cell shown: -15.6
Calculated density in kg/m³: 3839
Offset from the most stable computed form in eV/atom: 0.178

a b c (Å): 8.478 8.478 8.478
angles (deg): 24.23 24.23 24.23
Fractional coordinates of all 4 atoms:
Fe (0.507, 0.507, 0.507)
La (0.769, 0.769, 0.769)
Li (0.986, 0.986, 0.986)
Li (0.238, 0.238, 0.238)

Entry from Alexandria via LeMat-Bulk: crystalline Li2LaFe at its relaxed geometry (PBE).

Values from the calculation:
Energy of formation from the pure elements in meV/atom: 519.4
Symmetry: No. 166
DFT total energy in eV for the cell shown: -15.1
Calculated density in kg/m³: 4151
Offset from the most stable computed form in eV/atom: 0.296

a b c (Å): 10.413 10.413 10.413
angles (deg): 16.92 16.92 16.92
Fractional coordinates of all 4 atoms:
Fe (0.250, 0.250, 0.250)
La (0.750, 0.750, 0.750)
Li (0.985, 0.985, 0.985)
Li (0.515, 0.515, 0.515)

Entry from Alexandria via LeMat-Bulk: crystalline Li2LaFe at its relaxed geometry (PBE).

Values from the calculation:
Energy of formation from the pure elements in meV/atom: 317.6
Symmetry: No. 123
DFT total energy in eV for the cell shown: -15.9
Calculated density in kg/m³: 4194
Offset from the most stable computed form in eV/atom: 0.094

a b c (Å): 5.143 4.007 4.007
angles (deg): 90.00 90.00 90.00
Fractional coordinates of all 4 atoms:
Fe (0.500, 0.500, 0.000)
La (0.500, 0.000, 0.500)
Li (0.000, 0.000, 0.000)
Li (0.000, 0.500, 0.500)

Entry from Alexandria via LeMat-Bulk: crystalline Li2LaFe at its relaxed geometry (PBE).

Values from the calculation:
Energy of formation from the pure elements in meV/atom: 299.0
Symmetry: No. 6
DFT total energy in eV for the cell shown: -16.0
Calculated density in kg/m³: 4397
Offset from the most stable computed form in eV/atom: 0.076

a b c (Å): 3.519 3.191 7.309
angles (deg): 73.75 90.00 90.00
Fractional coordinates of all 4 atoms:
Fe (0.000, 0.630, 0.469)
La (0.500, 0.677, 0.678)
Li (0.000, 0.908, 0.074)
Li (0.500, 0.284, 0.279)

Entry from Alexandria via LeMat-Bulk: crystalline Li2La2Fe at its relaxed geometry (PBE).

Values from the calculation:
Energy of formation from the pure elements in meV/atom: 490.5
Symmetry: No. 127
DFT total energy in eV for the cell shown: -39.4
Calculated density in kg/m³: 5216

a b c (Å): 6.866 6.866 4.694
angles (deg): 90.00 90.00 90.00
Fractional coordinates of all 10 atoms:
Li (0.373, 0.873, 0.000)
Li (0.873, 0.627, 0.000)
Li (0.627, 0.127, 0.000)
Li (0.127, 0.373, 0.000)
Fe (0.000, 0.000, 0.000)
Fe (0.500, 0.500, 0.000)
La (0.199, 0.699, 0.500)
La (0.699, 0.801, 0.500)
La (0.801, 0.301, 0.500)
La (0.301, 0.199, 0.500)

Entry from Alexandria via LeMat-Bulk: crystalline LiLa2Fe at its relaxed geometry (PBE).

Values from the calculation:
Energy of formation from the pure elements in meV/atom: 226.6
Symmetry: No. 6
DFT total energy in eV for the cell shown: -19.3
Calculated density in kg/m³: 5734

a b c (Å): 5.134 3.730 5.150
angles (deg): 90.02 90.00 90.00
Fractional coordinates of all 4 atoms:
Fe (0.500, 0.625, 0.850)
La (0.000, 0.123, 0.882)
La (0.500, 0.127, 0.374)
Li (0.000, 0.625, 0.393)

Entry from Alexandria via LeMat-Bulk: crystalline Li2LaFe at its relaxed geometry (PBE).

Values from the calculation:
Energy of formation from the pure elements in meV/atom: 223.1
Symmetry: No. 12
DFT total energy in eV for the cell shown: -16.3
Calculated density in kg/m³: 4331
Offset from the most stable computed form in eV/atom: 0.000

a b c (Å): 6.017 6.017 4.531
angles (deg): 67.71 67.71 32.06
Fractional coordinates of all 4 atoms:
Fe (0.250, 0.250, 0.250)
La (0.750, 0.750, 0.750)
Li (0.966, 0.966, 0.033)
Li (0.534, 0.534, 0.467)

Entry from Alexandria via LeMat-Bulk: crystalline LiLa2Fe at its relaxed geometry (PBE).

Values from the calculation:
Energy of formation from the pure elements in meV/atom: 298.7
Symmetry: No. 99
DFT total energy in eV for the cell shown: -19.0
Calculated density in kg/m³: 5712

a b c (Å): 3.551 3.551 7.851
angles (deg): 90.00 90.00 89.99
Fractional coordinates of all 4 atoms:
Fe (0.500, 0.500, 0.694)
La (0.000, 0.000, 0.936)
La (0.500, 0.500, 0.307)
Li (0.000, 0.000, 0.563)

Entry from Alexandria via LeMat-Bulk: crystalline Li2LaFe at its relaxed geometry (PBE).

Values from the calculation:
Energy of formation from the pure elements in meV/atom: 436.9
Symmetry: No. 225
DFT total energy in eV for the cell shown: -15.5
Calculated density in kg/m³: 4412
Offset from the most stable computed form in eV/atom: 0.214

a b c (Å): 4.807 4.807 4.807
angles (deg): 60.00 60.00 60.00
Fractional coordinates of all 4 atoms:
Li (0.250, 0.250, 0.250)
Li (0.750, 0.750, 0.750)
Fe (0.000, 0.000, 0.000)
La (0.500, 0.500, 0.500)

Entry from Alexandria via LeMat-Bulk: crystalline LiLa2Fe at its relaxed geometry (PBE).

Values from the calculation:
Energy of formation from the pure elements in meV/atom: 336.5
Symmetry: No. 119
DFT total energy in eV for the cell shown: -18.9
Calculated density in kg/m³: 5954

a b c (Å): 5.735 5.735 5.735
angles (deg): 134.33 134.33 66.57
Fractional coordinates of all 4 atoms:
Fe (0.750, 0.250, 0.500)
La (0.000, 0.000, 0.000)
La (0.250, 0.750, 0.500)
Li (0.500, 0.500, 0.000)

Entry from Alexandria via LeMat-Bulk: crystalline LiLa2Fe at its relaxed geometry (PBE).

Values from the calculation:
Energy of formation from the pure elements in meV/atom: 134.0
Symmetry: No. 65
DFT total energy in eV for the cell shown: -19.7
Calculated density in kg/m³: 5364

a b c (Å): 3.542 3.542 8.402
angles (deg): 90.00 90.00 90.28
Fractional coordinates of all 4 atoms:
Fe (0.500, 0.500, 0.750)
La (0.000, 0.000, 0.950)
La (0.000, 0.000, 0.550)
Li (0.500, 0.500, 0.250)

Entry from Alexandria via LeMat-Bulk: crystalline Li2LaFe at its relaxed geometry (PBE).

Values from the calculation:
Energy of formation from the pure elements in meV/atom: 392.5
Symmetry: No. 216
DFT total energy in eV for the cell shown: -15.6
Calculated density in kg/m³: 4188
Offset from the most stable computed form in eV/atom: 0.169

a b c (Å): 4.891 4.891 4.891
angles (deg): 60.00 60.00 60.00
Fractional coordinates of all 4 atoms:
Fe (0.500, 0.500, 0.500)
La (0.750, 0.750, 0.750)
Li (0.000, 0.000, 0.000)
Li (0.250, 0.250, 0.250)

The highest calculated density belongs to which entry? number 10